Record 1
CsRb6Au2: optimized geometry, PBE.

Cell: 20.2544 13.8643 9.4321 Å, 90.00 117.73 90.00°
Closest atoms and distances in Å follow each position.
Space group C2/c (No. 15)
One atom of each set of equivalent atoms:
Cs 0.0000 0.2499 0.2500 (multiplicity 4)  12 Rb 4.98-5.04, 4 Au 5.31
Rb 0.1186 0.0703 0.7734 (multiplicity 8)  2 Au 3.56-3.62
Rb 0.1188 0.4301 0.9638 (multiplicity 8)  2 Au 3.56-3.62
Rb 0.2497 0.1814 0.2902 (multiplicity 8)  3 Au 3.54-3.73
Au 0.2499 0.0620 0.6219 (multiplicity 8)  7 Rb 3.54-3.73

Output
- Relative energy among the computed polymorphs: 0 meV per atom
- Formation energy: -0.13 eV/atom

***

Record 2
ReTcHg3: optimized geometry, PBE.

Cell: 5.2009 5.2009 5.2009 Å, 90.00 90.00 90.00°
Closest atoms and distances in Å follow each position.
Space group Pm-3m (No. 221)
One atom of each set of equivalent atoms:
Re 0.0000 0.0000 0.0000 (multiplicity 1)  6 Hg 2.60
Tc 0.5000 0.5000 0.5000 (multiplicity 1)  12 Hg 3.68
Hg 0.0000 0.0000 0.5000 (multiplicity 3)  2 Re 2.60

Output
- Relative energy among the computed polymorphs: 0 meV per atom
- Formation energy: 1.75 eV/atom